(1)
MnP3 | PBE | relaxed

Cell: 7.193 7.193 3.986 Å, 90.00 90.00 143.23°
Site moments in Bohr magnetons follow the coordinates.
Positions (direct):
1 P 0.959 0.041 0.250  -0.01
2 P 0.966 0.554 0.250  -0.04
3 P 0.554 0.966 0.750  -0.04
4 P 0.034 0.446 0.750  -0.04
5 P 0.041 0.959 0.750  -0.01
6 Mn 0.561 0.439 0.250  2.52
7 Mn 0.439 0.561 0.750  2.52
8 P 0.446 0.034 0.250  -0.04

Results
N(E_F) ... 2.4 states/eV per cell
Polymorph energy (0 for the lowest one) ... 166 kJ/mol of formula units
Energy of formation ... 0.270 eV per atom

=====

(2)
Nd2Sm3Ho5 | PBE | relaxed

Cell: 6.840 12.377 12.377 Å, 44.79 73.96 73.96°
Positions (direct):
1 Ho 0.499 0.251 0.251
2 Sm 0.370 0.382 0.878
3 Sm 0.750 0.000 0.000
4 Ho 0.250 0.500 0.500
5 Ho 0.001 0.749 0.749
6 Sm 0.630 0.618 0.122
7 Ho 0.750 0.500 0.500
8 Ho 0.375 0.712 0.538
9 Ho 0.501 0.749 0.749
10 Ho 0.125 0.462 0.288
11 Ho 0.999 0.251 0.251
12 Sm 0.870 0.878 0.382
13 Nd 0.126 0.772 0.977
14 Ho 0.625 0.288 0.462
15 Sm 0.130 0.122 0.618
16 Nd 0.374 0.023 0.228
17 Ho 0.875 0.538 0.712
18 Nd 0.626 0.977 0.772
19 Nd 0.874 0.228 0.023
20 Sm 0.250 0.000 0.000

Results
N(E_F) ... 31.1 states/eV per cell
Polymorph energy (0 for the lowest one) ... 201 kJ/mol of formula units
Energy of formation ... 0.394 eV per atom

=====

(3)
Ga2SnPbS6 | PBE | relaxed

Cell: 7.185 8.888 8.888 Å, 86.59 74.03 74.03°
Positions (direct):
1 Ga 0.808 0.615 0.739
2 Ga 0.308 0.739 0.615
3 S 0.829 0.053 0.188
4 S 0.572 0.122 0.605
5 S 0.072 0.605 0.122
6 S 0.428 0.878 0.395
7 S 0.928 0.395 0.878
8 Sn 0.750 0.796 0.204
9 S 0.529 0.554 0.709
10 Pb 0.250 0.873 0.127
11 S 0.671 0.812 0.947
12 S 0.171 0.947 0.812
13 S 0.029 0.709 0.554
14 S 0.971 0.291 0.446
15 Ga 0.192 0.385 0.261
16 Sn 0.250 0.204 0.796
17 S 0.329 0.188 0.053
18 S 0.471 0.446 0.291
19 Pb 0.750 0.127 0.873
20 Ga 0.692 0.261 0.385

Results
Formation energy from raw total energies ... -4.3 eV/f.u.

=====

The calculation returns the following DFT total energy values, one per record and in order: -6.080; -4.264; -4.286 eV/atom.